Compound: TlNi2F
Source: Alexandria
Functional: PBE with a Hubbard U
Structure: relaxed

The uncorrected energy comes out at -6.9 eV per formula unit. Its energy above the most stable polymorph in this dataset is 670 meV/atom. The density is 10.31 g cm⁻³.

It has space group Fm-3m (No. 225), with a = 6.0320 Å, b = 6.0320 Å, c = 6.0320 Å, α = 90.00°, β = 90.00° and γ = 90.00°. The asymmetric unit holds Tl at (0.0000, 0.0000, 0.0000), Ni at (0.2500, 0.2500, 0.2500) and F at (0.0000, 0.0000, 0.5000).